TlCuIr2 after structural relaxation, computed with PBE.

Unit cell a=4.493 b=4.493 c=4.493 alpha=60.00 beta=60.00 gamma=60.00
Atoms (fractional coordinates):
Tl1 0.500 0.500 0.500
Cu1 0.250 0.250 0.250
Ir1 0.750 0.750 0.750
Ir2 0.000 0.000 0.000

E ... -5.403 eV/atom
Space group ... F-43m (216)